Record 1
! Pr6Os2Au | Alexandria | PBE-GGA | optimized geometry; values from VASP
! Energy of formation from the pure elements (eV per formula unit): -1.80
&SYSTEM
  ibrav = 0, nat = 18, ntyp = 3
/
ATOMIC_SPECIES
Pr 140.91 Pr.upf
Os 190.23 Os.upf
Au 196.97 Au.upf
CELL_PARAMETERS angstrom
-4.9128 4.9455 5.2951
4.9128 -4.9455 5.2951
4.9128 4.9455 -5.2951
ATOMIC_POSITIONS angstrom
Pr 4.9128 -3.1205 3.4866
Pr 2.9860 0.0000 2.5805
Pr 6.8395 0.0000 2.5805
Pr 3.1264 2.7156 0.0000
Pr 6.6992 2.7156 0.0000
Pr 0.0000 1.8250 1.8085
Pr 4.9128 3.1205 3.4866
Pr -1.7864 2.2299 5.2951
Pr 1.7864 2.2299 5.2951
Pr -1.9268 4.9455 2.7146
Pr 1.9268 4.9455 2.7146
Pr 0.0000 8.0659 1.8085
Os 1.7030 0.0000 0.0000
Os 8.1226 0.0000 0.0000
Os 0.0000 0.0000 4.0655
Os 0.0000 0.0000 6.5248
Au 4.9128 0.0000 0.0000
Au 0.0000 4.9455 0.0000

Record 2
! Ge5Pb3Br12 | Alexandria | PBE-GGA | optimized geometry; values from VASP
! Uncorrected formation energy (eV/atom): -0.2904
&SYSTEM
  ibrav = 0, nat = 80, ntyp = 3
/
ATOMIC_SPECIES
Ge 72.64 Ge.upf
Pb 207.20 Pb.upf
Br 79.90 Br.upf
CELL_PARAMETERS angstrom
-8.8393 8.8393 8.8393
8.8393 -8.8393 8.8393
8.8393 8.8393 -8.8393
ATOMIC_POSITIONS angstrom
Ge 0.0000 0.0000 0.0000
Ge 4.4197 4.4197 -4.4197
Ge 4.4197 -4.4197 4.4197
Ge 8.8393 0.0000 0.0000
Ge 13.2590 2.2098 0.0000
Ge 8.8393 -4.4197 6.6295
Ge 6.6295 8.8393 -4.4197
Ge 6.6295 0.0000 4.4197
Ge 4.4197 6.6295 0.0000
Ge 8.8393 4.4197 2.2098
Ge -4.4197 4.4197 4.4197
Ge 0.0000 8.8393 0.0000
Ge 0.0000 0.0000 8.8393
Ge 4.4197 4.4197 4.4197
Ge 0.0000 4.4197 6.6295
Ge 4.4197 2.2098 8.8393
Ge 2.2098 8.8393 4.4197
Ge 2.2098 0.0000 13.2590
Ge 0.0000 13.2590 2.2098
Ge -4.4197 6.6295 8.8393
Pb 4.4197 2.2098 0.0000
Pb 8.8393 4.4197 -2.2098
Pb 2.2098 0.0000 4.4197
Pb 11.0491 0.0000 4.4197
Pb 0.0000 4.4197 2.2098
Pb 4.4197 -2.2098 8.8393
Pb 4.4197 11.0491 0.0000
Pb 8.8393 4.4197 6.6295
Pb -2.2098 8.8393 4.4197
Pb 6.6295 8.8393 4.4197
Pb 0.0000 4.4197 11.0491
Pb 4.4197 6.6295 8.8393
Br 2.6426 -0.4360 1.1287
Br 10.6164 5.5484 -4.8557
Br 8.4033 -1.1287 2.6426
Br 13.6950 -1.7771 3.2909
Br 11.4819 0.4360 1.1287
Br 10.6164 -3.2909 4.8557
Br 1.1287 2.6426 -0.4360
Br 12.1303 3.9836 -1.7771
Br 5.5484 4.8557 -1.7771
Br 7.7106 2.6426 0.4360
Br -0.4360 1.1287 2.6426
Br 4.8557 -1.7771 5.5484
Br 8.4033 7.7106 -2.6426
Br 4.8557 1.7771 3.2909
Br 7.7106 -2.6426 8.4033
Br 5.5484 -4.8557 10.6164
Br 3.2909 4.8557 1.7771
Br 9.9680 6.1967 0.4360
Br 2.6426 8.4033 -1.1287
Br 10.6164 3.2909 3.9836
Br 4.8557 10.6164 -3.2909
Br 8.4033 1.1287 6.1967
Br 1.7771 3.2909 4.8557
Br 2.6426 0.4360 7.7106
Br 6.1967 8.4033 1.1287
Br 7.0622 5.5484 3.9836
Br 0.4360 7.7106 2.6426
Br 3.9836 -1.7771 12.1303
Br -1.7771 5.5484 4.8557
Br 6.1967 0.4360 9.9680
Br -1.1287 2.6426 8.4033
Br 5.5484 3.9836 7.0622
Br 3.2909 13.6950 -1.7771
Br 1.1287 11.4819 0.4360
Br 3.9836 7.0622 5.5484
Br 0.4360 1.1287 11.4819
Br 3.9836 10.6164 3.2909
Br 9.2753 7.7106 6.1967
Br 1.1287 6.1967 8.4033
Br 3.2909 3.9836 10.6164
Br -3.2909 4.8557 10.6164
Br 7.7106 6.1967 9.2753
Br -1.7771 12.1303 3.9836
Br -2.6426 8.4033 7.7106
Br -4.8557 10.6164 5.5484
Br 0.4360 9.9680 6.1967
Br -1.7771 3.2909 13.6950
Br 6.1967 9.2753 7.7106

Record 3
! Tb5Y12Er | Alexandria | PBE-GGA | optimized geometry; values from VASP
! Energy of formation from the pure elements (eV per formula unit): 0.40
&SYSTEM
  ibrav = 0, nat = 18, ntyp = 3
/
ATOMIC_SPECIES
Tb 158.93 Tb.upf
Y 88.91 Y.upf
Er 167.26 Er.upf
CELL_PARAMETERS angstrom
7.5584 -7.5693 0.0000
7.5584 7.5693 0.0000
0.0000 0.0000 5.0377
ATOMIC_POSITIONS angstrom
Tb 0.0000 0.0000 0.0000
Tb 7.5584 5.0450 2.5188
Tb 7.5584 2.5179 0.0000
Tb 7.5584 -2.5179 0.0000
Tb 7.5584 -5.0450 2.5188
Y 5.0476 5.0443 0.0000
Y 2.5106 0.0000 2.5188
Y 5.0536 2.5191 2.5188
Y 10.0691 5.0443 0.0000
Y 5.0558 0.0000 0.0000
Y 10.0631 2.5191 2.5188
Y 5.0536 -2.5191 2.5188
Y 10.0609 0.0000 0.0000
Y 5.0476 -5.0443 0.0000
Y 10.0631 -2.5191 2.5188
Y 12.6061 0.0000 2.5188
Y 10.0691 -5.0443 0.0000
Er 7.5584 0.0000 2.5188

Record 4
! Cs2Cd3Pt | Alexandria | PBE-GGA | optimized geometry; values from VASP
! Energy of formation from the pure elements (eV per formula unit): -0.65
&SYSTEM
  ibrav = 0, nat = 12, ntyp = 3
/
ATOMIC_SPECIES
Cs 132.91 Cs.upf
Cd 112.41 Cd.upf
Pt 195.08 Pt.upf
CELL_PARAMETERS angstrom
5.8714 -4.4407 0.0000
5.8714 4.4407 0.0000
-1.0651 0.0000 9.3164
ATOMIC_POSITIONS angstrom
Cs 1.8001 1.4230 1.5516
Cs 1.2676 -1.4230 6.2098
Cs 9.4101 1.4230 3.1066
Cs 8.8775 -1.4230 7.7649
Cd 5.6051 2.6782 2.3291
Cd 4.1187 0.9323 4.5587
Cd 3.5861 -0.9323 9.2170
Cd 7.0915 0.9323 0.0995
Cd 6.5590 -0.9323 4.7577
Cd 5.0726 -2.6782 6.9873
Pt 5.0726 0.0137 6.9873
Pt 5.6051 -0.0137 2.3291